Li2LaMgAg2 | PBE-GGA | optimized geometry Values from VASP.

Calculated values
Its space group is No. 164. Its total magnetic moment is 0.00 Bohr magnetons per cell. As for the calculated formation energy: -185 meV/atom.

```
&SYSTEM
  ibrav = 0, nat = 6, ntyp = 4
/
ATOMIC_SPECIES
Li 6.94 Li.upf
La 138.91 La.upf
Ag 107.87 Ag.upf
Mg 24.30 Mg.upf
CELL_PARAMETERS angstrom
4.677 0.000 0.000
-2.339 4.050 0.000
0.000 0.000 6.911
ATOMIC_POSITIONS crystal
Li 0.333 0.667 0.674
Li 0.667 0.333 0.326
La 0.000 0.000 0.000
Ag 0.667 0.333 0.716
Ag 0.333 0.667 0.284
Mg 0.000 0.000 0.500
```

***

LiLaMgAg2 | PBE-GGA | optimized geometry Values from VASP.

Calculated values
Its space group is No. 119. Its total magnetic moment is 0.00 Bohr magnetons per cell. As for the calculated formation energy: -235 meV/atom.

```
&SYSTEM
  ibrav = 0, nat = 5, ntyp = 4
/
ATOMIC_SPECIES
Li 6.94 Li.upf
Mg 24.30 Mg.upf
Ag 107.87 Ag.upf
La 138.91 La.upf
CELL_PARAMETERS angstrom
4.160 0.000 0.000
0.000 4.160 0.000
-2.080 -2.080 6.696
ATOMIC_POSITIONS crystal
Li 0.250 0.750 0.500
Mg 0.750 0.250 0.500
Ag 0.608 0.608 0.215
Ag 0.392 0.392 0.785
La 0.000 0.000 0.000
```

***

LiLaMg2Ag4 | PBE-GGA | optimized geometry Values from VASP.

Calculated values
Its space group is No. 166. Its total magnetic moment is 0.00 Bohr magnetons per cell. As for the calculated formation energy: -238 meV/atom.

```
&SYSTEM
  ibrav = 0, nat = 8, ntyp = 4
/
ATOMIC_SPECIES
Ag 107.87 Ag.upf
Li 6.94 Li.upf
Mg 24.30 Mg.upf
La 138.91 La.upf
CELL_PARAMETERS angstrom
-0.174 -2.648 3.947
0.610 -4.710 -0.267
8.635 -1.415 2.298
ATOMIC_POSITIONS crystal
Ag 0.872 0.872 0.384
Li 0.500 0.500 0.500
Ag 0.128 0.128 0.616
Mg 0.760 0.760 0.720
Ag 0.600 0.600 0.199
La 0.000 0.000 0.000
Mg 0.240 0.240 0.280
Ag 0.400 0.400 0.801
```

***

LiLa2AgN | PBE-GGA | optimized geometry Values from VASP.

Calculated values
The value obtained for the formation energy (no corrections) is -0.59 eV per atom. Its space group is No. 123. Its total magnetic moment is 0.00 Bohr magnetons per cell.

```
&SYSTEM
  ibrav = 0, nat = 5, ntyp = 4
/
ATOMIC_SPECIES
La 138.91 La.upf
Li 6.94 Li.upf
Ag 107.87 Ag.upf
N 14.01 N.upf
CELL_PARAMETERS angstrom
-3.778 3.110 -1.511
-3.412 -3.715 0.885
-0.460 1.366 3.962
ATOMIC_POSITIONS crystal
La 0.000 0.500 0.000
La 0.500 0.000 0.000
Li 0.000 0.000 0.500
Ag 0.500 0.500 0.500
N 0.000 0.000 0.000
```

***

Li2LaAgN | PBE-GGA | optimized geometry Values from VASP.

Calculated values
The value obtained for the formation energy (no corrections) is -0.40 eV per atom. Its space group is No. 123. Its total magnetic moment is 0.00 Bohr magnetons per cell.

```
&SYSTEM
  ibrav = 0, nat = 5, ntyp = 4
/
ATOMIC_SPECIES
Ag 107.87 Ag.upf
La 138.91 La.upf
Li 6.94 Li.upf
N 14.01 N.upf
CELL_PARAMETERS angstrom
-4.303 -1.043 -0.383
0.717 -1.440 -4.143
0.928 -4.459 1.710
ATOMIC_POSITIONS crystal
Ag 0.500 0.500 0.500
La 0.000 0.000 0.500
Li 0.000 0.500 0.000
Li 0.500 0.000 0.000
N 0.000 0.000 0.000
```

***

LiLaNdAg | PBE-GGA | optimized geometry Values from VASP.

Calculated values
Its space group is No. 216. Its total magnetic moment is 0.61 Bohr magnetons per cell. As for the calculated formation energy: -54 meV/atom.

```
&SYSTEM
  ibrav = 0, nat = 4, ntyp = 4
/
ATOMIC_SPECIES
Li 6.94 Li.upf
La 138.91 La.upf
Nd 144.24 Nd.upf
Ag 107.87 Ag.upf
CELL_PARAMETERS angstrom
-0.383 2.397 4.809
-4.664 -0.096 2.694
-0.471 -2.978 4.464
ATOMIC_POSITIONS crystal
Li 0.750 0.750 0.750
La 0.500 0.500 0.500
Nd 0.000 0.000 0.000
Ag 0.250 0.250 0.250
```

***

LiLa2NiAg | PBE-GGA | optimized geometry Values from VASP.

Calculated values
Its space group is No. 123. Its total magnetic moment is 0.00 Bohr magnetons per cell. As for the calculated formation energy: -84 meV/atom.

```
&SYSTEM
  ibrav = 0, nat = 5, ntyp = 4
/
ATOMIC_SPECIES
Ag 107.87 Ag.upf
Li 6.94 Li.upf
Ni 58.69 Ni.upf
La 138.91 La.upf
CELL_PARAMETERS angstrom
5.364 0.000 0.000
0.000 5.364 0.000
0.000 0.000 4.704
ATOMIC_POSITIONS crystal
Ag 0.500 0.500 0.500
Li 0.000 0.000 0.500
Ni 0.000 0.000 0.000
La 0.500 0.000 0.000
La 0.000 0.500 0.000
```

***

LiLaNiAg | PBE-GGA | optimized geometry Values from VASP.

Calculated values
Its space group is No. 216. Its total magnetic moment is 0.00 Bohr magnetons per cell. As for the calculated formation energy: -50 meV/atom.

```
&SYSTEM
  ibrav = 0, nat = 4, ntyp = 4
/
ATOMIC_SPECIES
Li 6.94 Li.upf
Ni 58.69 Ni.upf
Ag 107.87 Ag.upf
La 138.91 La.upf
CELL_PARAMETERS angstrom
-2.555 0.271 -4.218
-2.405 -3.969 -1.690
-4.937 -0.121 0.091
ATOMIC_POSITIONS crystal
Li 0.000 0.000 0.000
Ni 0.250 0.250 0.250
Ag 0.750 0.750 0.750
La 0.500 0.500 0.500
```

***

- total magnetic moment of number 4 (LiLa2AgN)?
  0.00 Bohr magnetons per cell

***

- Which formula does entry 4 have?
  LiLa2AgN

***

Repeat the first record exactly.
Li2LaMgAg2 | PBE-GGA | optimized geometry Values from VASP.

Calculated values
Its space group is No. 164. Its total magnetic moment is 0.00 Bohr magnetons per cell. As for the calculated formation energy: -185 meV/atom.

```
&SYSTEM
  ibrav = 0, nat = 6, ntyp = 4
/
ATOMIC_SPECIES
Li 6.94 Li.upf
La 138.91 La.upf
Ag 107.87 Ag.upf
Mg 24.30 Mg.upf
CELL_PARAMETERS angstrom
4.677 0.000 0.000
-2.339 4.050 0.000
0.000 0.000 6.911
ATOMIC_POSITIONS crystal
Li 0.333 0.667 0.674
Li 0.667 0.333 0.326
La 0.000 0.000 0.000
Ag 0.667 0.333 0.716
Ag 0.333 0.667 0.284
Mg 0.000 0.000 0.500
```